The following is a DFT calculation (PBE) of an optimized crystal structure of Tl2RuRh.

Values from the calculation:
Excess energy over the best structure of this formula in the dataset in meV per atom: 36.7
Raw total energy in eV/cell: -19.9

The structure in CIF format:
```
data_Tl2RuRh
_chemical_formula_sum 'Tl2 Ru1 Rh1'
_cell_length_a 3.0794
_cell_length_b 3.0794
_cell_length_c 8.5505
_cell_angle_alpha 90.00
_cell_angle_beta 90.00
_cell_angle_gamma 90.00
_symmetry_space_group_name_H-M 'P 4 m m'
_symmetry_Int_Tables_number 99
loop_
_symmetry_equiv_pos_as_xyz
'x,y,z'
'-y,x,z'
'-x,-y,z'
'y,-x,z'
'-x,y,z'
'y,x,z'
'x,-y,z'
'-y,-x,z'
loop_
_atom_site_label
_atom_site_type_symbol
_atom_site_fract_x
_atom_site_fract_y
_atom_site_fract_z
Tl1 Tl 0.0000 0.0000 0.0000
Tl2 Tl 0.5000 0.5000 0.3384
Ru1 Ru 0.5000 0.5000 0.7555
Rh1 Rh 0.0000 0.0000 0.5889
```